Entry 1:
Computed, not measured: a relaxed La3NiSn3Ir2 crystal at the PBE level of DFT.

Cell: 7.5701 7.5701 4.1528 Å, 90.00 90.00 120.00°
Last column: nearest neighbours and their distance in Å.
Space group P-62m (No. 189)
Asymmetric unit:
La  0.0000  0.4165  0.0000 (multiplicity 3)  4 Ir 3.08, 1 Ni 3.15, 6 Sn 3.31-3.44
Ni  0.0000  0.0000  0.0000 (multiplicity 1)  6 Sn 2.78
Sn  0.0000  0.7567  0.5000 (multiplicity 3)  2 Ni 2.78, 2 Ir 2.92
Ir  0.3333  0.6667  0.5000 (multiplicity 2)  3 Sn 2.92, 6 La 3.08

Computed properties:
total moment: 0.0 μB/f.u.
energy: -0.4657 Ry/atom

Entry 2:
Computed, not measured: a relaxed Dy2Os crystal at the PBE level of DFT.

Cell: 11.7547 11.7547 11.7547 Å, 90.00 90.00 90.00°
Last column: nearest neighbours and their distance in Å.
Space group Fd-3m (No. 227, origin choice 2)
Asymmetric unit:
Dy  0.0000  0.0000  0.0000 (multiplicity 16)  2 Os 2.54
Os  0.1250  0.1250  0.1250 (multiplicity 8)  4 Dy 2.54

Computed properties:
total moment: 0.0 μB/f.u.
energy: -0.4145 Ry/atom
formation enthalpy at 0 K: 1170 meV/atom